No. 1
A plane-wave DFT calculation with PBE was carried out for a geometry-optimized YTc3B2 structure.

Summary:
* formation energy: -1.641 eV per formula unit
* space-group type: P6/mmm

a = 3.156 Å, b = 5.520 Å, c = 5.518 Å
α = 120.01°, β = 90.00°, γ = 90.00°
Atoms (fractional coordinates):
Y  0.000  0.001  0.000
Tc  0.500  0.001  0.500
Tc  0.500  0.501  0.500
Tc  0.500  0.501  0.000
B  0.000  0.334  0.667
B  0.000  0.668  0.333

=====

No. 2
A plane-wave DFT calculation with PBE was carried out for a geometry-optimized YTc2B6 structure.

Summary:
* relative energy among the computed polymorphs: 164 meV/atom
* formation energy: -2.701 eV per formula unit
* space-group type: P6/mmm

a = 3.516 Å, b = 5.320 Å, c = 5.320 Å
α = 120.00°, β = 90.00°, γ = 90.00°
Atoms (fractional coordinates):
B  0.500  0.659  0.000
B  0.500  0.000  0.659
B  0.500  0.659  0.659
B  0.500  0.000  0.341
B  0.500  0.341  0.341
B  0.500  0.341  0.000
Tc  0.000  0.333  0.667
Tc  0.000  0.667  0.333
Y  0.000  0.000  0.000

=====

No. 3
A plane-wave DFT calculation with PBE was carried out for a geometry-optimized Y2TcB2 structure.

Summary:
* relative energy among the computed polymorphs: 694 meV/atom
* formation energy: 3.373 eV per formula unit
* space-group type: I4/mmm

a = 3.053 Å, b = 3.053 Å, c = 9.048 Å
α = 80.29°, β = 80.29°, γ = 90.00°
Atoms (fractional coordinates):
Y  0.619  0.619  0.762
Y  0.381  0.381  0.238
Tc  0.000  0.000  0.000
B  0.750  0.250  0.500
B  0.250  0.750  0.500

=====

Number 1: N(E_F) 0.92 states/eV per atom, calculated volume 83 Å³/cell. Number 2: N(E_F) 0.57 states/eV per atom, calculated volume 86 Å³/cell. Number 3: N(E_F) 0.99 states/eV per atom, calculated volume 82 Å³/cell.